Entry 1:
Compound: HoTm4Hg2
Source: Alexandria
Functional: GGA-PBE
Structure: relaxed

Cell: 4.994 4.994 10.431 Å, 76.15 76.15 60.00°
Element x y z (fractional)
Hg (0.601, 0.601, 0.197)
Tm (0.894, 0.894, 0.318)
Ho (0.500, 0.500, 0.500)
Tm (0.297, 0.297, 0.108)
Tm (0.106, 0.106, 0.682)
Hg (0.399, 0.399, 0.803)
Tm (0.703, 0.703, 0.892)

ΔH_f (0 K) (eV per atom): 0.030
Crystal system: trigonal
Total magnetization (μB/atom): 0.000
E_tot (eV for the cell shown): -22.86



Entry 2:
Compound: HoTmHg2
Source: Alexandria
Functional: GGA-PBE
Structure: relaxed

Cell: 3.726 5.194 5.194 Å, 90.00 90.00 90.00°
Element x y z (fractional)
Ho (0.500, 0.500, 0.500)
Hg (0.000, 0.000, 0.500)
Hg (0.000, 0.500, 0.000)
Tm (0.500, 0.000, 0.000)

ΔH_f (0 K) (eV per atom): -0.479
Crystal system: tetragonal
Total magnetization (μB/atom): 0.000
E_tot (eV for the cell shown): -11.57



Entry 3:
Compound: HoTmHg4
Source: Alexandria
Functional: GGA-PBE
Structure: relaxed

Cell: 3.581 6.203 8.035 Å, 112.39 77.12 73.22°
Element x y z (fractional)
Hg (0.830, 0.504, 0.835)
Tm (0.000, 0.000, 0.000)
Ho (0.500, 0.500, 0.500)
Hg (0.170, 0.496, 0.165)
Hg (0.665, 0.002, 0.668)
Hg (0.335, 0.998, 0.332)

ΔH_f (0 K) (eV per atom): -0.330
Crystal system: monoclinic
Total magnetization (μB/atom): 0.000
E_tot (eV for the cell shown): -12.24
E above lowest polymorph (eV/atom): 0.0458



Entry 4:
Compound: Ho4Tm2Hg
Source: Alexandria
Functional: GGA-PBE
Structure: relaxed

Cell: 3.488 8.350 8.278 Å, 116.93 102.16 90.00°
Element x y z (fractional)
Ho (0.918, 0.297, 0.836)
Ho (0.082, 0.703, 0.164)
Ho (0.369, 0.608, 0.738)
Tm (0.217, 0.140, 0.433)
Ho (0.631, 0.392, 0.262)
Tm (0.783, 0.860, 0.567)
Hg (0.000, 0.000, 0.000)

ΔH_f (0 K) (eV per atom): -0.001
Crystal system: monoclinic
Total magnetization (μB/atom): 0.000
E_tot (eV for the cell shown): -27.56



Entry 5:
Compound: Ho6Tm2Hg
Source: Alexandria
Functional: GGA-PBE
Structure: relaxed

Cell: 3.517 9.189 9.730 Å, 118.18 90.00 90.00°
Element x y z (fractional)
Ho (0.000, 0.339, 0.324)
Ho (0.500, 0.702, 0.000)
Ho (0.000, 0.016, 0.676)
Hg (0.000, 0.000, 0.000)
Ho (0.500, 0.298, 0.000)
Tm (0.500, 0.317, 0.634)
Tm (0.500, 0.683, 0.366)
Ho (0.000, 0.984, 0.324)
Ho (0.000, 0.661, 0.676)

ΔH_f (0 K) (eV per atom): 0.030
Crystal system: orthorhombic
Total magnetization (μB/atom): 0.000
E_tot (eV for the cell shown): -36.45



Entry 6:
Compound: Ho3TmHg
Source: Alexandria
Functional: GGA-PBE
Structure: relaxed

Cell: 6.623 6.623 8.656 Å, 87.94 119.94 113.25°
Element x y z (fractional)
Hg (0.253, 0.247, 0.500)
Tm (0.320, 0.939, 0.260)
Ho (0.821, 0.440, 0.261)
Ho (0.771, 0.591, 0.861)
Hg (0.747, 0.753, 0.500)
Ho (0.179, 0.560, 0.739)
Ho (0.229, 0.409, 0.139)
Ho (0.730, 0.910, 0.139)
Ho (0.270, 0.090, 0.861)
Tm (0.680, 0.061, 0.740)

ΔH_f (0 K) (eV per atom): -0.121
Crystal system: monoclinic
Total magnetization (μB/atom): 0.000
E_tot (eV for the cell shown): -38.22



Entry 7:
Compound: Ho2TmHg
Source: Alexandria
Functional: GGA-PBE
Structure: relaxed

Cell: 3.567 3.567 8.867 Å, 90.00 90.00 90.00°
Element x y z (fractional)
Tm (0.500, 0.500, 0.500)
Ho (0.000, 0.000, 0.226)
Ho (0.000, 0.000, 0.774)
Hg (0.500, 0.500, 0.000)

ΔH_f (0 K) (eV per atom): -0.221
Crystal system: tetragonal
Total magnetization (μB/atom): 0.000
E_tot (eV for the cell shown): -14.81
E above lowest polymorph (eV/atom): 0.0000



Entry 8:
Compound: Ho5TmHg3
Source: Alexandria
Functional: GGA-PBE
Structure: relaxed

Cell: 6.859 9.030 9.029 Å, 120.00 90.00 90.00°
Element x y z (fractional)
Ho (0.750, 0.000, 0.332)
Hg (0.750, 0.666, 0.000)
Tm (0.000, 0.000, 0.000)
Hg (0.750, 0.334, 0.334)
Ho (0.500, 0.667, 0.333)
Ho (0.500, 0.333, 0.667)
Ho (0.250, 0.000, 0.668)
Hg (0.250, 0.334, 0.000)
Ho (0.000, 0.333, 0.667)
Hg (0.250, 0.000, 0.334)
Ho (0.000, 0.667, 0.333)
Ho (0.750, 0.332, 0.000)
Ho (0.250, 0.668, 0.000)
Tm (0.500, 0.000, 0.000)
Ho (0.750, 0.668, 0.668)
Ho (0.250, 0.332, 0.332)
Hg (0.250, 0.666, 0.666)
Hg (0.750, 0.000, 0.666)

ΔH_f (0 K) (eV per atom): -0.317
Crystal system: hexagonal
Total magnetization (μB/atom): 0.000
E_tot (eV for the cell shown): -62.23



Entry 9:
Compound: Ho4TmHg4
Source: Alexandria
Functional: GGA-PBE
Structure: relaxed

Cell: 5.498 9.446 9.446 Å, 90.00 90.00 90.00°
Element x y z (fractional)
Hg (0.108, 0.297, 0.397)
Ho (0.105, 0.089, 0.652)
Hg (0.608, 0.103, 0.797)
Tm (0.500, 0.500, 0.500)
Hg (0.108, 0.703, 0.603)
Ho (0.395, 0.411, 0.848)
Hg (0.392, 0.203, 0.103)
Ho (0.605, 0.152, 0.411)
Ho (0.105, 0.911, 0.348)
Hg (0.392, 0.797, 0.897)
Ho (0.605, 0.848, 0.589)
Ho (0.395, 0.589, 0.152)
Hg (0.608, 0.897, 0.203)
Hg (0.892, 0.603, 0.297)
Tm (0.000, 0.000, 0.000)
Hg (0.892, 0.397, 0.703)
Ho (0.895, 0.348, 0.089)
Ho (0.895, 0.652, 0.911)

ΔH_f (0 K) (eV per atom): -0.247
Crystal system: tetragonal
Total magnetization (μB/atom): 0.000
E_tot (eV for the cell shown): -52.43



Entry 10:
Compound: HoTm2Hg2
Source: Alexandria
Functional: GGA-PBE
Structure: relaxed

Cell: 3.706 5.236 13.585 Å, 90.00 97.89 90.00°
Element x y z (fractional)
Tm (0.236, 0.750, 0.472)
Ho (0.853, 0.750, 0.706)
Hg (0.453, 0.750, 0.906)
Tm (0.764, 0.250, 0.528)
Ho (0.147, 0.250, 0.294)
Hg (0.356, 0.250, 0.711)
Hg (0.644, 0.750, 0.289)
Hg (0.547, 0.250, 0.094)
Tm (0.047, 0.750, 0.095)
Tm (0.953, 0.250, 0.905)

ΔH_f (0 K) (eV per atom): -0.386
Crystal system: monoclinic
Total magnetization (μB/atom): 0.000
E_tot (eV for the cell shown): -32.10
E above lowest polymorph (eV/atom): 0.0000



Entry 11:
Compound: Ho2TmHg5
Source: Alexandria
Functional: GGA-PBE
Structure: relaxed

Cell: 5.178 5.178 8.123 Å, 108.59 108.59 90.00°
Element x y z (fractional)
Hg (0.624, 0.124, 0.248)
Ho (0.737, 0.737, 0.475)
Ho (0.263, 0.263, 0.525)
Tm (0.000, 0.000, 0.000)
Hg (0.500, 0.500, 0.000)
Hg (0.124, 0.624, 0.248)
Hg (0.876, 0.376, 0.752)
Hg (0.376, 0.876, 0.752)

ΔH_f (0 K) (eV per atom): -0.401
Crystal system: tetragonal
Total magnetization (μB/atom): 0.000
E_tot (eV for the cell shown): -18.34



Entry 12:
Compound: Ho4Tm5Hg
Source: Alexandria
Functional: GGA-PBE
Structure: relaxed

Cell: 3.515 3.515 23.832 Å, 90.00 90.00 90.00°
Element x y z (fractional)
Tm (0.500, 0.500, 0.916)
Tm (0.500, 0.500, 0.500)
Ho (0.000, 0.000, 0.396)
Hg (0.000, 0.000, 0.000)
Ho (0.000, 0.000, 0.811)
Ho (0.000, 0.000, 0.189)
Tm (0.500, 0.500, 0.292)
Tm (0.500, 0.500, 0.084)
Tm (0.500, 0.500, 0.708)
Ho (0.000, 0.000, 0.604)

ΔH_f (0 K) (eV per atom): -0.076
Crystal system: tetragonal
Total magnetization (μB/atom): 0.000
E_tot (eV for the cell shown): -41.73